# 1
Below is an optimized crystal structure of Tm6Al7, with properties calculated at the PBE-GGA level.

POSCAR file:
```
Tm6Al7
1.0
2.8060 1.6201 10.3654
-2.8060 1.6201 10.3654
0.0000 -3.2401 10.3654
Tm Al
6 7
Direct
0.0500 0.0500 0.0500
0.1498 0.1498 0.1498
0.3348 0.3348 0.3348
0.6652 0.6652 0.6652
0.8502 0.8502 0.8502
0.9500 0.9500 0.9500
0.0890 0.5968 0.5968
0.4032 0.4032 0.9110
0.4032 0.9110 0.4032
0.5000 0.5000 0.5000
0.5968 0.0890 0.5968
0.5968 0.5968 0.0890
0.9110 0.4032 0.4032
```

M_tot ... 0.070 μB per atom
DOS(E_F) ... 11.09 states/eV per cell
DFT formation energy ... -0.387 eV per atom

***

# 2
Below is an optimized crystal structure of TmAl, with properties calculated at the PBE-GGA level.

POSCAR file:
```
TmAl
1.0
6.8745 0.0000 0.0000
0.0000 7.8763 0.0000
0.0000 0.0000 3.3203
Tm Al
4 4
Direct
0.0000 0.2217 0.0000
0.0000 0.7783 0.0000
0.5000 0.2783 0.0000
0.5000 0.7217 0.0000
0.2063 0.5000 0.5000
0.2937 0.0000 0.5000
0.7063 0.0000 0.5000
0.7937 0.5000 0.5000
```

M_tot ... 0.000 μB per atom
DOS(E_F) ... 4.61 states/eV per cell
DFT formation energy ... -0.390 eV per atom

***

# 3
Below is an optimized crystal structure of Tm2Al7, with properties calculated at the PBE-GGA level.

POSCAR file:
```
Tm2Al7
1.0
2.7333 1.5781 13.3192
-2.7333 1.5781 13.3192
0.0000 -3.1562 13.3192
Tm Al
4 14
Direct
0.0545 0.0545 0.0545
0.1501 0.1501 0.1501
0.8499 0.8499 0.8499
0.9455 0.9455 0.9455
0.0000 0.5000 0.5000
0.1070 0.6135 0.6135
0.2784 0.2784 0.2784
0.3865 0.3865 0.8930
0.3865 0.8930 0.3865
0.3890 0.3890 0.3890
0.5000 0.0000 0.5000
0.5000 0.5000 0.0000
0.5000 0.5000 0.5000
0.6110 0.6110 0.6110
0.6135 0.1070 0.6135
0.6135 0.6135 0.1070
0.7216 0.7216 0.7216
0.8930 0.3865 0.3865
```

M_tot ... 0.000 μB per atom
DOS(E_F) ... 6.58 states/eV per cell
DFT formation energy ... -0.275 eV per atom

***

# 4
Below is an optimized crystal structure of Tm13Al2, with properties calculated at the PBE-GGA level.

POSCAR file:
```
Tm13Al2
1.0
6.5436 0.0000 0.0000
1.4550 8.2125 0.0000
0.1161 4.0321 7.9837
Tm Al
13 2
Direct
0.0000 0.0000 0.0000
0.0337 0.5021 0.7057
0.2349 0.0120 0.5698
0.2541 0.2070 0.1530
0.2771 0.6509 0.9594
0.4445 0.1717 0.8152
0.4734 0.3985 0.3781
0.5266 0.6015 0.6219
0.5555 0.8283 0.1848
0.7229 0.3491 0.0406
0.7459 0.7930 0.8470
0.7651 0.9880 0.4302
0.9663 0.4979 0.2943
0.1611 0.7777 0.3622
0.8389 0.2223 0.6378
```

M_tot ... 0.000 μB per atom
DOS(E_F) ... 18.73 states/eV per cell
DFT formation energy ... -0.024 eV per atom